Density functional theory data (PBE) for a geometry-optimized GaCu2As structure.

```
GaCu2As
1.0
3.986 0.000 0.000
0.000 3.986 0.000
1.993 1.993 8.119
Cu Ga As
4 2 2
Direct
0.875 0.877 0.750 Cu
0.123 0.625 0.250 Cu
0.375 0.373 0.750 Cu
0.627 0.125 0.250 Cu
0.250 0.750 0.500 Ga
0.500 0.500 0.000 Ga
0.750 0.250 0.500 As
0.000 0.000 0.000 As
```

Output
- Calculated formation energy: 88 meV/atom


Density functional theory data (PBE) for a geometry-optimized SrCoGe2 structure.

```
SrCoGe2
1.0
3.918 -1.862 -1.958
0.596 -4.721 -0.103
-0.289 -2.345 -4.131
Ge Sr Co
2 1 1
Direct
0.750 0.750 0.750 Ge
0.250 0.250 0.250 Ge
0.500 0.500 0.500 Sr
0.000 0.000 0.000 Co
```

Output
- Calculated formation energy: 179 meV/atom


Density functional theory data (PBE) for a geometry-optimized AlCrIn2Ga structure.

```
AlCrIn2Ga
1.0
5.245 0.000 0.000
0.000 4.733 0.000
0.000 0.000 5.245
Ga In Al Cr
1 2 1 1
Direct
0.000 0.500 0.000 Ga
0.000 0.000 0.500 In
0.500 0.000 0.000 In
0.000 0.000 0.000 Al
0.500 0.500 0.500 Cr
```

Output
- Calculated formation energy: 1233 meV/atom


Density functional theory data (PBE) for a geometry-optimized EuMgO3 structure.

```
EuMgO3
1.0
-3.735 0.721 -0.978
-1.183 -2.878 2.397
-0.276 2.574 2.954
O Mg Eu
3 1 1
Direct
0.500 0.000 0.000 O
0.000 0.500 0.000 O
0.000 0.000 0.500 O
0.000 0.000 0.000 Mg
0.500 0.500 0.500 Eu
```

Output
- Formation energy without anion corrections: -2.119 eV/atom


Result set for raw total energy: -31.030 -17.306 -15.703 -37.339 eV/cell, one per record in the order listed.